Model one:
The following is a meta-GGA SCAN calculation of a PBEsol-optimized structure of TlCd4, from Alexandria via LeMat-Bulk.

Cell and atoms, written as POSCAR:
```
TlCd4
1.0
8.566 0.000 0.000
-2.855 8.076 0.000
-2.855 -4.038 6.994
Cd Tl
16 4
Cartesian
1.914 0.000 0.000 Cd
-0.638 1.804 0.000 Cd
2.217 3.136 5.432 Cd
-0.638 -0.902 1.562 Cd
1.997 -1.412 2.445 Cd
3.714 -2.626 4.549 Cd
-3.714 2.626 4.549 Cd
-1.997 1.412 2.445 Cd
1.997 2.824 0.000 Cd
3.714 5.252 0.000 Cd
-1.428 1.009 5.245 Cd
4.283 3.028 1.748 Cd
1.428 -1.009 5.245 Cd
1.428 5.047 1.748 Cd
4.283 0.000 3.497 Cd
-1.428 4.038 3.497 Cd
4.939 0.000 0.000 Tl
-1.646 4.656 0.000 Tl
1.209 1.710 2.962 Tl
-1.646 -2.328 4.032 Tl
```

Output
The total magnetic moment is 0.00 μB/f.u. The value obtained for the volume is 121 Å³/f.u.

Model two:
The following is a meta-GGA SCAN calculation of a PBEsol-optimized structure of TlCd4, from Alexandria via LeMat-Bulk.

Cell and atoms, written as POSCAR:
```
TlCd4
1.0
4.170 0.000 0.000
0.000 4.170 0.000
-2.085 -2.085 6.928
Tl Cd
1 4
Cartesian
0.000 0.000 0.000 Tl
2.085 0.000 3.464 Cd
0.000 2.085 3.464 Cd
2.085 2.085 1.387 Cd
0.000 0.000 5.541 Cd
```

Output
The total magnetic moment is 0.00 μB/f.u. The value obtained for the volume is 120 Å³/f.u.

Computed energies relative to the best structure, in meV per atom: model one 15; model two 0

Model one:
The following is a meta-GGA SCAN calculation of a PBEsol-optimized structure of Tl4Cd5, from Alexandria via LeMat-Bulk.

Cell and atoms, written as POSCAR:
```
Tl4Cd5
1.0
-0.624 -0.774 -6.148
-4.142 -7.987 1.426
-4.911 7.659 -0.466
Cd Tl
10 8
Cartesian
-3.785 4.594 -4.925 Cd
-3.266 -5.976 -3.648 Cd
-3.405 -0.687 -4.299 Cd
-1.749 2.291 -1.688 Cd
-1.500 -2.785 -1.074 Cd
-6.272 -0.416 -0.888 Cd
-4.655 2.443 0.165 Cd
-4.710 -3.159 -2.279 Cd
-4.398 -2.772 0.795 Cd
-4.967 2.056 -2.909 Cd
0.000 0.000 0.000 Tl
-0.312 -0.387 -3.074 Tl
-2.184 2.096 -4.774 Tl
-1.915 -3.371 -4.113 Tl
-6.358 -0.794 -3.986 Tl
-3.351 4.789 -1.840 Tl
-2.851 -5.390 -0.610 Tl
-3.319 -0.308 -1.202 Tl
```

Output
The total magnetic moment is 0.00 μB/f.u. The value obtained for the volume is 224 Å³/f.u.

Model two:
The following is a meta-GGA SCAN calculation of a PBEsol-optimized structure of Tl4Cd5, from Alexandria via LeMat-Bulk.

Cell and atoms, written as POSCAR:
```
Tl4Cd5
1.0
4.620 0.000 0.000
2.310 6.900 0.000
2.310 0.000 6.900
Cd Tl
5 4
Cartesian
0.000 0.000 0.000 Cd
4.620 0.000 4.673 Cd
2.310 0.000 2.227 Cd
4.620 4.673 0.000 Cd
2.310 2.227 0.000 Cd
2.310 4.681 2.219 Tl
2.310 2.219 4.681 Tl
4.620 2.219 2.219 Tl
4.620 4.681 4.681 Tl
```

Output
The total magnetic moment is 0.00 μB/f.u. The value obtained for the volume is 220 Å³/f.u.

Computed energies relative to the best structure, in meV per atom: model one 37; model two 0